No. 1
DFT (PBE) results for a relaxed structure of Li2NdAuO4.

Cell: 5.0000 5.0000 5.0000 Å, 112.97 112.97 102.69°
Fractional coordinates of all 8 atoms:
Li1 0.2500 0.7500 0.5000
Li2 0.7500 0.2500 0.5000
Nd1 0.0000 0.0000 0.0000
Au1 0.5000 0.5000 0.0000
O1 0.0585 0.5298 0.0000
O2 0.4702 0.4702 0.5287
O3 0.5298 0.0585 0.0000
O4 0.9415 0.9415 0.4713

space group	No. 121
uncorrected formation energy	-1.549	eV/atom
density of states at the Fermi level	0.2528	states/eV per atom
energy	-5.512	eV/atom


No. 2
DFT (PBE) results for a relaxed structure of Zr6ZnN3.

Cell: 10.1149 3.2710 10.3574 Å, 90.00 108.47 90.00°
Fractional coordinates of all 20 atoms:
Zr1 0.0442 0.2500 0.3761
Zr2 0.1565 0.7500 0.1398
Zr3 0.2594 0.2500 0.6684
Zr4 0.3408 0.7500 0.4446
Zr5 0.3608 0.7500 0.9509
Zr6 0.4480 0.2500 0.2334
Zr7 0.5520 0.7500 0.7666
Zr8 0.6392 0.2500 0.0491
Zr9 0.6592 0.2500 0.5554
Zr10 0.7406 0.7500 0.3316
Zr11 0.8435 0.2500 0.8602
Zr12 0.9558 0.7500 0.6239
Zn1 0.1135 0.2500 0.8665
Zn2 0.8865 0.7500 0.1335
N1 0.1442 0.7500 0.5250
N2 0.2375 0.2500 0.2866
N3 0.4524 0.2500 0.8563
N4 0.5476 0.7500 0.1437
N5 0.7625 0.7500 0.7134
N6 0.8558 0.2500 0.4750

space group	No. 11
uncorrected formation energy	-1.086	eV/atom
density of states at the Fermi level	0.5481	states/eV per atom
energy	-8.840	eV/atom


No. 3
DFT (PBE) results for a relaxed structure of NaLa2Y.

Cell: 5.8529 5.8529 5.8529 Å, 60.00 60.00 60.00°
Fractional coordinates of all 4 atoms:
Na1 0.0000 0.0000 0.0000
La1 0.2500 0.2500 0.2500
La2 0.7500 0.7500 0.7500
Y1 0.5000 0.5000 0.5000

space group	No. 225
DFT formation energy	0.2488	eV/atom
relative energy among the computed polymorphs	184	meV/atom
density of states at the Fermi level	1.1082	states/eV per atom
energy	-4.161	eV/atom